1.
Entry from OQMD via LeMat-Bulk: DyHo after structural relaxation (PBE-GGA).

## Properties
formation energy	0.797	eV per atom
raw total energy	-3.7923	eV/atom
mass density	8.193	g cm⁻³
ΔE to the lowest computed polymorph	1.58	eV/f.u.
calculated volume	33.181	A^3/atom

Lattice parameters (Å, degrees): 4.5444 4.5444 4.5444 60.00 60.00 60.00
Atoms (fractional coordinates):
Dy 0.0000 0.0000 0.0000
Ho 0.5000 0.5000 0.5000



2.
Entry from OQMD via LeMat-Bulk: Cu2Ag3 after structural relaxation (PBE-GGA).

## Properties
formation energy	0.091	eV per atom
raw total energy	-3.0908	eV/atom
mass density	9.639	g cm⁻³
ΔE to the lowest computed polymorph	0.29	eV/f.u.
calculated volume	15.529	A^3/atom

Lattice parameters (Å, degrees): 4.8578 4.8578 8.8471 90.01 90.01 48.06
Atoms (fractional coordinates):
Cu 0.0000 0.0000 0.0000
Cu 0.1005 0.1005 0.2758
Cu 0.5013 0.5013 0.4772
Cu 0.6943 0.6943 0.0902
Ag 0.1946 0.1946 0.5746
Ag 0.2932 0.2932 0.8991
Ag 0.4079 0.4079 0.1865
Ag 0.5933 0.5933 0.7956
Ag 0.7968 0.7968 0.3758
Ag 0.8980 0.8980 0.6841



3.
Entry from OQMD via LeMat-Bulk: LiCd2Pt after structural relaxation (PBE-GGA).

## Properties
raw total energy	-2.8181	eV/atom
mass density	9.552	g cm⁻³
ΔE to the lowest computed polymorph	0.25	eV/f.u.
calculated volume	18.550	A^3/atom

Lattice parameters (Å, degrees): 4.4996 4.4996 8.4587 90.00 90.00 119.94
Atoms (fractional coordinates):
Li 0.0005 0.9995 0.7500
Li 0.9995 0.0005 0.2500
Cd 0.3329 0.6671 0.0820
Cd 0.3329 0.6671 0.4180
Cd 0.6671 0.3329 0.5820
Cd 0.6671 0.3329 0.9180
Pt 0.3338 0.6662 0.7500
Pt 0.6662 0.3338 0.2500



4.
Entry from OQMD via LeMat-Bulk: TbZnPO after structural relaxation (PBE-GGA).

## Properties
raw total energy	-5.7133	eV/atom
mass density	6.020	g cm⁻³
calculated volume	18.708	A^3/atom

Lattice parameters (Å, degrees): 4.2581 6.1055 5.7566 90.00 90.00 90.00
Atoms (fractional coordinates):
Tb 0.0000 0.2385 0.0000
Tb 0.0000 0.7615 0.5000
Zn 0.5000 0.3522 0.5971
Zn 0.5000 0.6478 0.0971
P 0.0000 0.2228 0.4947
P 0.0000 0.7772 0.9947
O 0.5000 0.3348 0.9653
O 0.5000 0.6652 0.4653